1.
Entry from Alexandria: a geometry-optimized Na2VSeO6 structure (GGA+U).

Values from the calculation:
* size of the total moment: 0.00 μB per atom
* calculated total energy: -5.673 eV/atom

Cell lengths 5.2056, 5.2056, 4.6609 Å; angles 90.00, 90.00, 90.00 degrees
Space group P4mm (No. 99)
Symmetry-distinct sites (fractional):
Na: 0.0000 0.5000 0.0000 x2
V: 0.0000 0.0000 0.5379 x1
Se: 0.5000 0.5000 0.5557 x1
O: 0.0000 0.0000 0.1797 x1
O: 0.2481 0.2481 0.6424 x4
O: 0.5000 0.5000 0.1935 x1

2.
Entry from Alexandria: a geometry-optimized Na6W6Se2O25 structure (GGA+U).

Values from the calculation:
* size of the total moment: 0.00 μB per atom
* calculated total energy: -6.513 eV/atom

Cell lengths 43.1831, 7.4150, 6.8769 Å; angles 90.00, 98.31, 90.00 degrees
Space group C2 (No. 5)
Symmetry-distinct sites (fractional):
Na: 0.0355 0.0000 0.3059 x4
Na: 0.0360 0.5019 0.2785 x4
Na: 0.1151 0.5008 0.0180 x4
Na: 0.1781 0.5011 0.7596 x4
Na: 0.1823 0.7790 0.2635 x4
Na: 0.2489 0.5509 0.5433 x4
W: 0.0455 0.2509 0.8026 x4
W: 0.0459 0.7510 0.8015 x4
W: 0.1082 0.2593 0.5349 x4
W: 0.1089 0.7471 0.5356 x4
W: 0.1814 0.0067 0.7331 x4
W: 0.2492 0.2733 0.9751 x4
Se: 0.1144 0.0010 0.0014 x4
Se: 0.1892 0.3582 0.2680 x4
O: 0.0054 0.2956 0.7246 x4
O: 0.0057 0.7063 0.7225 x4
O: 0.0442 0.0013 0.7075 x4
O: 0.0478 0.1985 0.0577 x4
O: 0.0479 0.8027 0.0567 x4
O: 0.0599 0.5008 0.8522 x4
O: 0.0651 0.2951 0.5352 x4
O: 0.0657 0.7082 0.5320 x4
O: 0.1012 0.8143 0.8495 x4
O: 0.1022 0.0025 0.4890 x4
O: 0.1016 0.1879 0.8511 x4
O: 0.1126 0.3134 0.2904 x4
O: 0.1150 0.6969 0.2921 x4
O: 0.1194 0.5026 0.6451 x4
O: 0.1517 0.1911 0.6423 x4
O: 0.1527 0.8140 0.6447 x4
O: 0.1542 0.9948 0.9971 x4
O: 0.1730 0.4998 0.0860 x4
O: 0.1955 0.5017 0.4626 x4
O: 0.2006 0.9997 0.5207 x4
O: 0.2065 0.1982 0.8760 x4
O: 0.2091 0.8396 0.8915 x4
O: 0.2302 0.3253 0.2346 x4
O: 0.2391 0.7523 0.2644 x4
O: 0.2408 0.5334 0.9247 x4

Repeat the second record exactly.
Entry from Alexandria: a geometry-optimized Na6W6Se2O25 structure (GGA+U).

Values from the calculation:
* size of the total moment: 0.00 μB per atom
* calculated total energy: -6.513 eV/atom

Cell lengths 43.1831, 7.4150, 6.8769 Å; angles 90.00, 98.31, 90.00 degrees
Space group C2 (No. 5)
Symmetry-distinct sites (fractional):
Na: 0.0355 0.0000 0.3059 x4
Na: 0.0360 0.5019 0.2785 x4
Na: 0.1151 0.5008 0.0180 x4
Na: 0.1781 0.5011 0.7596 x4
Na: 0.1823 0.7790 0.2635 x4
Na: 0.2489 0.5509 0.5433 x4
W: 0.0455 0.2509 0.8026 x4
W: 0.0459 0.7510 0.8015 x4
W: 0.1082 0.2593 0.5349 x4
W: 0.1089 0.7471 0.5356 x4
W: 0.1814 0.0067 0.7331 x4
W: 0.2492 0.2733 0.9751 x4
Se: 0.1144 0.0010 0.0014 x4
Se: 0.1892 0.3582 0.2680 x4
O: 0.0054 0.2956 0.7246 x4
O: 0.0057 0.7063 0.7225 x4
O: 0.0442 0.0013 0.7075 x4
O: 0.0478 0.1985 0.0577 x4
O: 0.0479 0.8027 0.0567 x4
O: 0.0599 0.5008 0.8522 x4
O: 0.0651 0.2951 0.5352 x4
O: 0.0657 0.7082 0.5320 x4
O: 0.1012 0.8143 0.8495 x4
O: 0.1022 0.0025 0.4890 x4
O: 0.1016 0.1879 0.8511 x4
O: 0.1126 0.3134 0.2904 x4
O: 0.1150 0.6969 0.2921 x4
O: 0.1194 0.5026 0.6451 x4
O: 0.1517 0.1911 0.6423 x4
O: 0.1527 0.8140 0.6447 x4
O: 0.1542 0.9948 0.9971 x4
O: 0.1730 0.4998 0.0860 x4
O: 0.1955 0.5017 0.4626 x4
O: 0.2006 0.9997 0.5207 x4
O: 0.2065 0.1982 0.8760 x4
O: 0.2091 0.8396 0.8915 x4
O: 0.2302 0.3253 0.2346 x4
O: 0.2391 0.7523 0.2644 x4
O: 0.2408 0.5334 0.9247 x4

- What is the formula in the second record?
  Na6W6Se2O25

What did the first record say?
Entry from Alexandria: a geometry-optimized Na2VSeO6 structure (GGA+U).

Values from the calculation:
* size of the total moment: 0.00 μB per atom
* calculated total energy: -5.673 eV/atom

Cell lengths 5.2056, 5.2056, 4.6609 Å; angles 90.00, 90.00, 90.00 degrees
Space group P4mm (No. 99)
Symmetry-distinct sites (fractional):
Na: 0.0000 0.5000 0.0000 x2
V: 0.0000 0.0000 0.5379 x1
Se: 0.5000 0.5000 0.5557 x1
O: 0.0000 0.0000 0.1797 x1
O: 0.2481 0.2481 0.6424 x4
O: 0.5000 0.5000 0.1935 x1